Entry 1:
Compound: TbSm3Er2Tm6
Source: the Alexandria database
Functional: PBE-GGA
Structure: optimized geometry

Output
**Total DFT energy (no corrections)**: -4.54 eV per atom
**Formation energy from the elements**: 22 meV per atom
**DOS(E_F)**: 16.0 states/eV/f.u.

Unit cell a=6.121 b=6.121 c=11.657 alpha=95.02 beta=95.02 gamma=119.96
Sites, in units of the cell vectors:
Sm 0.500 0.500 0.500
Sm 0.833 0.167 0.500
Sm 0.167 0.833 0.500
Tm 0.083 0.416 0.247
Tm 0.749 0.749 0.247
Tm 0.584 0.917 0.753
Tm 0.251 0.251 0.753
Tm 0.917 0.584 0.753
Tm 0.416 0.083 0.247
Er 0.667 0.333 0.000
Er 0.333 0.667 0.000
Tb 0.000 0.000 0.000


Entry 2:
Compound: Sr5LaSb4
Source: the Alexandria database
Functional: PBE-GGA
Structure: optimized geometry

Output
**Uncorrected formation energy**: -933 meV per atom
**Total DFT energy (no corrections)**: -3.92 eV per atom
**DOS(E_F)**: 5.2 states/eV/f.u.

Unit cell a=4.930 b=8.845 c=10.843 alpha=114.04 beta=103.14 gamma=90.00
Each line ends with the local moment (μB).
Sites, in units of the cell vectors:
Sr 0.168 0.409 0.335  0.02
Sr 0.500 0.500 0.000  0.03
Sr 0.832 0.074 0.665  0.02
Sr 0.832 0.591 0.665  0.02
Sr 0.168 0.926 0.335  0.02
Sb 0.000 0.247 0.000  -0.01
Sb 0.696 0.196 0.391  0.00
Sb 0.000 0.753 0.000  -0.01
Sb 0.304 0.804 0.609  0.00
La 0.500 0.000 0.000  0.06


Entry 3:
Compound: NdErGe2
Source: the Alexandria database
Functional: PBE-GGA
Structure: optimized geometry

Output
**Total DFT energy (no corrections)**: -5.48 eV per atom
**Formation energy from the elements**: -834 meV per atom
**DOS(E_F)**: 2.8 states/eV/f.u.

Unit cell a=4.363 b=4.018 c=5.862 alpha=90.00 beta=111.85 gamma=90.00
Sites, in units of the cell vectors:
Er 0.719 0.000 0.978
Ge 0.167 0.500 0.874
Ge 0.000 0.000 0.539
Nd 0.444 0.500 0.427


Entry 4:
Compound: CaTlVBr6
Source: the Alexandria database
Functional: PBE-GGA
Structure: optimized geometry

Output
**Uncorrected formation energy**: -1233 meV per atom
**Total DFT energy (no corrections)**: -3.85 eV per atom
**DOS(E_F)**: 10.1 states/eV/f.u.

Unit cell a=7.178 b=7.178 c=14.225 alpha=90.00 beta=90.00 gamma=120.00
Each line ends with the local moment (μB).
Sites, in units of the cell vectors:
Br 0.649 0.035 0.356  -0.02
Br 0.387 0.035 0.144  -0.02
Br 0.351 0.965 0.644  -0.02
Br 0.649 0.613 0.144  -0.02
Br 0.965 0.613 0.356  -0.02
Br 0.351 0.387 0.856  -0.02
Br 0.035 0.387 0.644  -0.02
Br 0.613 0.965 0.856  -0.02
Br 0.035 0.649 0.856  -0.02
Br 0.613 0.649 0.644  -0.02
Br 0.387 0.351 0.356  -0.02
Br 0.965 0.351 0.144  -0.02
Tl 0.000 0.000 0.000  0.00
Tl 0.000 0.000 0.500  0.00
Ca 0.667 0.333 0.750  0.00
Ca 0.333 0.667 0.250  0.00
V 0.333 0.667 0.750  1.92
V 0.667 0.333 0.250  1.92


Entry 5:
Compound: TiCuAs2Br
Source: the Alexandria database
Functional: PBE-GGA
Structure: optimized geometry

Output
**Uncorrected formation energy**: 528 meV per atom
**Total DFT energy (no corrections)**: -4.06 eV per atom
**DOS(E_F)**: 6.5 states/eV/f.u.

Unit cell a=4.575 b=4.575 c=5.339 alpha=90.00 beta=90.00 gamma=90.00
Each line ends with the local moment (μB).
Sites, in units of the cell vectors:
Cu 0.000 0.000 0.000  -0.04
As 0.500 0.000 0.000  -0.12
As 0.000 0.500 0.000  -0.12
Ti 0.500 0.500 0.500  1.56
Br 0.000 0.000 0.500  -0.06


Entry 6:
Compound: LiSeCl3
Source: the Alexandria database
Functional: PBE-GGA
Structure: optimized geometry

Output
**Uncorrected formation energy**: -784 meV per atom
**Total DFT energy (no corrections)**: -2.97 eV per atom
**DOS(E_F)**: 0.0 states/eV/f.u.

Unit cell a=4.203 b=8.494 c=8.475 alpha=80.19 beta=109.06 gamma=109.70
Sites, in units of the cell vectors:
Se 0.744 0.650 0.694
Se 0.740 0.254 0.089
Cl 0.765 0.601 0.041
Cl 0.775 0.994 0.098
Cl 0.780 0.660 0.432
Cl 0.709 0.911 0.683
Cl 0.721 0.304 0.742
Cl 0.703 0.243 0.350
Li 0.101 0.206 0.642
Li 0.386 0.700 0.141


Entry 7:
Compound: Zn2HIrAu
Source: the Alexandria database
Functional: PBE-GGA
Structure: optimized geometry

Output
**Total DFT energy (no corrections)**: -3.64 eV per atom
**DOS(E_F)**: 1.4 states/eV/f.u.

Unit cell a=4.187 b=4.187 c=3.611 alpha=90.00 beta=90.00 gamma=90.00
Sites, in units of the cell vectors:
Zn 0.000 0.500 0.000
Zn 0.500 0.000 0.000
H 0.000 0.000 0.000
Au 0.500 0.500 0.500
Ir 0.000 0.000 0.500


Entry 8:
Compound: Tm2BiO
Source: the Alexandria database
Functional: PBE-GGA
Structure: optimized geometry

Output
**Uncorrected formation energy**: -1538 meV per atom
**Total DFT energy (no corrections)**: -5.98 eV per atom
**DOS(E_F)**: 1.5 states/eV/f.u.

Unit cell a=3.586 b=3.586 c=7.743 alpha=76.61 beta=76.61 gamma=60.00
Sites, in units of the cell vectors:
Tm 0.722 0.722 0.834
Tm 0.278 0.278 0.166
O 0.000 0.000 0.000
Bi 0.500 0.500 0.500